Here is an optimized crystal structure of TaTc2Cl from Alexandria via LeMat-Bulk. Energies are from GGA-PBE.

The structure belongs to space group Cmmm (No. 65); the cell edges are 4.992, 8.544 and 3.010 Å and the angles 90.00°, 90.00° and 90.00°. The distinct sites, in fractional coordinates, are Ta at (0.000, 0.000, 0.000), Tc at (0.250, 0.250, 0.500) and Cl at (0.000, 0.500, 0.000).


Here is an optimized crystal structure of Ta2TcCl from Alexandria via LeMat-Bulk. Energies are from GGA-PBE.

The structure belongs to space group Cmmm (No. 65); the cell edges are 3.130, 4.993 and 8.833 Å and the angles 90.00°, 90.00° and 90.00°. The distinct sites, in fractional coordinates, are Ta at (0.000, 0.000, 0.240), Tc at (0.000, 0.500, 0.000) and Cl at (0.000, 0.500, 0.500).


Looking at V for the records above, in order, we have 16.05 17.26 Å³ per atom.
Looking at DOS(E_F) for the records above, in order, we have 7.90 7.37 states/eV per cell.
Looking at E_tot for the records above, in order, we have -7.933 -8.880 eV per atom.